VASP calculation (GGA-PBE) on a relaxed structure of BaLa2Al2.

```
data_BaLa2Al2
_chemical_formula_sum 'Ba2 La4 Al4'
_cell_length_a 9.235
_cell_length_b 9.235
_cell_length_c 3.762
_cell_angle_alpha 90.00
_cell_angle_beta 90.00
_cell_angle_gamma 90.00
_symmetry_space_group_name_H-M 'P 4/m b m'
_symmetry_Int_Tables_number 127
_symmetry_space_group_name_Hall '-P 4 2ab'
loop_
_atom_site_label
_atom_site_type_symbol
_atom_site_fract_x
_atom_site_fract_y
_atom_site_fract_z
Ba1 Ba 0.000 0.000 0.000
La1 La 0.176 0.324 0.500
Al1 Al 0.110 0.610 0.000
```

Mass density, g cm⁻³: 4.86
Formation energy from the elements, eV per atom: -0.15
Size of the total moment, μB per cell: 0.00
Raw total energy, eV per formula unit: -20.0
Density of states at the Fermi level, states/eV/f.u.: 6.48